Below is a relaxed structure of CaSmDy2Hg4, with properties calculated at the GGA-PBE level.

Cell and atoms, written as CIF:
```
data_CaSmDy2Hg4
_cell_length_a 5.2992
_cell_length_b 5.2992
_cell_length_c 26.0054
_cell_angle_alpha 90.00
_cell_angle_beta 90.00
_cell_angle_gamma 120.00
_symmetry_space_group_name_H-M 'R -3 m'
_symmetry_Int_Tables_number 166
_symmetry_space_group_name_Hall '-R 3 2"'
loop_
_atom_site_label
_atom_site_type_symbol
_atom_site_fract_x
_atom_site_fract_y
_atom_site_fract_z
Ca1 Ca 0.0000 0.0000 0.0000
Sm1 Sm 0.0000 0.0000 0.5000
Dy1 Dy 0.0000 0.0000 0.2520
Hg1 Hg 0.0000 0.0000 0.1251
Hg2 Hg 0.0000 0.0000 0.3755
```

Calculated values
spin magnetization = 0.000 Bohr magnetons per cell
E = -2.645 eV per atom